No. 1
# LiTmTl4

Crystalline LiTmTl4 at its relaxed geometry (GGA-PBE, Alexandria via LeMat-Bulk).

The structure in POSCAR format:
```
LiTmTl4
1.0
-0.578 -2.926 2.105
5.909 -2.198 1.731
-4.213 3.020 6.209
Li Tl Tm
1 4 1
direct
0.000 0.000 0.000
0.336 0.002 0.325
0.186 0.473 0.155
0.664 0.998 0.675
0.814 0.527 0.845
0.500 0.500 0.500
```

The distance to the lowest polymorph of the same formula comes out at 0.0 meV per atom. As for the symmetry: C2/m. For the total DFT energy (no corrections), the calculation gives -2.743 eV per atom. For the formation energy, the calculation gives -0.10 eV/atom.

No. 2
# LaCd2In

Crystalline LaCd2In at its relaxed geometry (GGA-PBE, Alexandria via LeMat-Bulk).

The structure in POSCAR format:
```
LaCd2In
1.0
4.999 0.000 0.000
0.000 3.414 -0.273
0.000 0.496 6.377
Cd La In
2 1 1
direct
0.500 0.250 0.245
0.000 0.251 0.005
0.500 0.750 0.747
0.000 0.249 0.503
```

As for the symmetry: Pm. For the total DFT energy (no corrections), the calculation gives -2.636 eV per atom. For the formation energy, the calculation gives -0.26 eV/atom.

No. 3
# TiSnP2Br

Crystalline TiSnP2Br at its relaxed geometry (GGA-PBE, Alexandria via LeMat-Bulk).

The structure in POSCAR format:
```
TiSnP2Br
1.0
5.083 0.000 0.000
0.000 4.628 0.000
0.000 0.000 5.083
Ti Br P Sn
1 1 2 1
direct
0.000 0.500 0.000
0.000 0.000 0.000
0.000 0.000 0.500
0.500 0.000 0.000
0.500 0.500 0.500
```

As for the symmetry: P4/mmm. The value obtained for the formation energy (no corrections) is 1012.3 meV/atom. For the total DFT energy (no corrections), the calculation gives -3.866 eV per atom.

No. 4
# BeAg2B2

Crystalline BeAg2B2 at its relaxed geometry (GGA-PBE, Alexandria via LeMat-Bulk).

The structure in POSCAR format:
```
BeAg2B2
1.0
5.669 0.000 0.000
0.000 5.669 0.000
0.000 0.000 3.601
Ag B Be
4 4 2
direct
0.718 0.782 0.500
0.218 0.718 0.500
0.782 0.282 0.500
0.282 0.218 0.500
0.899 0.601 0.000
0.601 0.101 0.000
0.399 0.899 0.000
0.101 0.399 0.000
0.000 0.000 0.000
0.500 0.500 0.000
```

The distance to the lowest polymorph of the same formula comes out at 0.0 meV per atom. As for the symmetry: P4/mbm. For the total DFT energy (no corrections), the calculation gives -3.909 eV per atom. For the formation energy, the calculation gives 0.65 eV/atom.

Question: What is the formula in the second record?
Answer: LaCd2In